Computed, not measured: crystalline TbCe2Re at its relaxed geometry at the PBE level of DFT.

Unit cell a=3.875 b=3.875 c=9.190 alpha=77.83 beta=77.83 gamma=60.00
Element x y z (fractional)
Re1 0.000 0.000 0.000
Tb1 0.500 0.500 0.500
Ce1 0.273 0.273 0.181
Ce2 0.727 0.727 0.819

Crystal system: trigonal
Energy of formation from the pure elements: 0.315 eV/atom
Relative energy among the computed polymorphs: 156 meV/atom
Total magnetization: 0.0 Bohr magnetons per cell
Space-group type: R-3m (166)